TaZn | PBE-GGA | relaxed

Properties
space-group type = P2_1/m (11)
ρ = 12.449 g/cm³
energy = -6.503 eV/atom
ΔE_f = 56 meV/atom

abc: 6.428 4.483 7.022
angles: 90.00 102.98 90.00
Positions (direct):
Ta (0.047, 0.250, 0.182)
Ta (0.211, 0.250, 0.839)
Ta (0.290, 0.750, 0.151)
Ta (0.710, 0.250, 0.849)
Ta (0.789, 0.750, 0.161)
Ta (0.953, 0.750, 0.818)
Zn (0.131, 0.750, 0.491)
Zn (0.385, 0.250, 0.504)
Zn (0.453, 0.750, 0.809)
Zn (0.547, 0.250, 0.191)
Zn (0.615, 0.750, 0.496)
Zn (0.869, 0.250, 0.509)